1.
{"formula": "Na3Pt", "functional": "GGA-PBE", "state": "relaxed", "formation_energy_ev_per_atom": -0.0417, "lattice": [[6.407, 0.000, 0.000], [-3.203, 5.548, 0.000], [0.000, 0.000, 5.141]], "species": ["Na", "Na", "Na", "Na", "Na", "Na", "Pt", "Pt"], "frac_coords": [[0.180, 0.359, 0.250], [0.180, 0.820, 0.250], [0.359, 0.180, 0.750], [0.641, 0.820, 0.250], [0.820, 0.180, 0.750], [0.820, 0.641, 0.750], [0.333, 0.667, 0.750], [0.667, 0.333, 0.250]]}

2.
{"formula": "Na4Pt", "functional": "GGA-PBE", "state": "relaxed", "formation_energy_ev_per_atom": -0.0415, "polymorph_energy_ev_per_atom": 0.0566, "lattice": [[-3.538, 3.538, 2.392], [3.538, -3.538, 2.392], [3.538, 3.538, -2.392]], "species": ["Na", "Na", "Na", "Na", "Pt"], "frac_coords": [[0.117, 0.719, 0.836], [0.281, 0.117, 0.398], [0.719, 0.883, 0.602], [0.883, 0.281, 0.164], [0.500, 0.500, 0.000]]}

Please write out number 1 again, unchanged.
{"formula": "Na3Pt", "functional": "GGA-PBE", "state": "relaxed", "formation_energy_ev_per_atom": -0.0417, "lattice": [[6.407, 0.000, 0.000], [-3.203, 5.548, 0.000], [0.000, 0.000, 5.141]], "species": ["Na", "Na", "Na", "Na", "Na", "Na", "Pt", "Pt"], "frac_coords": [[0.180, 0.359, 0.250], [0.180, 0.820, 0.250], [0.359, 0.180, 0.750], [0.641, 0.820, 0.250], [0.820, 0.180, 0.750], [0.820, 0.641, 0.750], [0.333, 0.667, 0.750], [0.667, 0.333, 0.250]]}

Please write out number 2 again, unchanged.
{"formula": "Na4Pt", "functional": "GGA-PBE", "state": "relaxed", "formation_energy_ev_per_atom": -0.0415, "polymorph_energy_ev_per_atom": 0.0566, "lattice": [[-3.538, 3.538, 2.392], [3.538, -3.538, 2.392], [3.538, 3.538, -2.392]], "species": ["Na", "Na", "Na", "Na", "Pt"], "frac_coords": [[0.117, 0.719, 0.836], [0.281, 0.117, 0.398], [0.719, 0.883, 0.602], [0.883, 0.281, 0.164], [0.500, 0.500, 0.000]]}